1.
TlCu2Ag | GGA-PBE | relaxed

Lattice parameters (Å, degrees): 3.546 3.197 6.801 62.03 90.00 90.00
Atoms (fractional coordinates):
Ag 0.500 0.750 0.750
Cu 0.000 0.030 0.970
Cu 0.000 0.470 0.530
Tl 0.500 0.250 0.250

Results
- space group = P2/m
- total DFT energy (no corrections) (eV per cell) = -12.501
- energy relative to the elements (meV/atom) = 227

***

2.
MgZn2Pb2 | GGA-PBE | relaxed

Lattice parameters (Å, degrees): 3.614 3.614 9.716 79.28 79.28 90.00
Atoms (fractional coordinates):
Pb 0.391 0.391 0.218
Pb 0.609 0.609 0.782
Zn 0.750 0.250 0.500
Zn 0.250 0.750 0.500
Mg 0.000 0.000 0.000

Results
- space group = I4/mmm
- total DFT energy (no corrections) (eV per cell) = -11.171
- energy relative to the elements (meV/atom) = 78

***

3.
In2FeTc2 | GGA-PBE | relaxed

Lattice parameters (Å, degrees): 6.275 6.275 4.463 90.00 90.00 90.00
Atoms (fractional coordinates):
Fe 0.000 0.000 0.000
Fe 0.500 0.500 0.000
Tc 0.365 0.865 0.000
Tc 0.865 0.635 0.000
Tc 0.635 0.135 0.000
Tc 0.135 0.365 0.000
In 0.177 0.677 0.500
In 0.677 0.823 0.500
In 0.823 0.323 0.500
In 0.323 0.177 0.500

Results
- space group = P4/mbm
- total DFT energy (no corrections) (eV per cell) = -64.705
- energy relative to the elements (meV/atom) = 464

***

4.
HgTeP2S | GGA-PBE | relaxed

Lattice parameters (Å, degrees): 5.186 5.186 5.068 90.00 90.00 90.00
Atoms (fractional coordinates):
P 0.000 0.500 0.000
P 0.500 0.000 0.000
S 0.000 0.000 0.500
Te 0.000 0.000 0.000
Hg 0.500 0.500 0.500

Results
- space group = P4/mmm
- total DFT energy (no corrections) (eV per cell) = -13.248

***

5.
CrReSb4 | GGA-PBE | relaxed

Lattice parameters (Å, degrees): 6.035 6.035 6.035 60.00 60.00 60.00
Atoms (fractional coordinates):
Cr 0.750 0.750 0.750
Re 0.000 0.000 0.000
Sb 0.875 0.375 0.375
Sb 0.375 0.375 0.875
Sb 0.375 0.875 0.375
Sb 0.375 0.375 0.375

Results
- space group = F-43m
- total DFT energy (no corrections) (eV per cell) = -30.169

***

6.
NaBeS3 | GGA-PBE | relaxed

Lattice parameters (Å, degrees): 4.441 4.441 4.441 90.00 90.00 90.00
Atoms (fractional coordinates):
Na 0.500 0.500 0.500
S 0.000 0.500 0.000
S 0.000 0.000 0.500
S 0.500 0.000 0.000
Be 0.000 0.000 0.000

Results
- space group = Pm-3m
- total DFT energy (no corrections) (eV per cell) = -17.816